# MgCuTe (PBE-GGA, optimized geometry)
data_MgCuTe
_cell_length_a 3.2528
_cell_length_b 3.2528
_cell_length_c 11.9661
_cell_angle_alpha 90.00
_cell_angle_beta 90.00
_cell_angle_gamma 90.00
_symmetry_space_group_name_H-M 'I 4 m m'
_symmetry_Int_Tables_number 107
_symmetry_space_group_name_Hall 'I 4 -2'
loop_
_atom_site_label
_atom_site_fract_x
_atom_site_fract_y
_atom_site_fract_z
Mg1 0.0000 0.0000 0.0000
Cu1 0.0000 0.0000 0.6270
Te1 0.0000 0.0000 0.2857
# Calculated volume in A^3/atom: 21.1
# ΔE_f (raw) in eV/atom: 0.084
# Raw total energy in eV per atom: -2.860